# BaPmS3

BaPmS3 after structural relaxation (PBE-GGA, Alexandria).

Cell and atoms, written as POSCAR:
```
BaPmS3
1.0
7.4153 -5.3980 0.0000
7.4153 5.3980 0.0000
-0.3875 0.0000 7.4662
Ba Pm S
4 4 12
Cartesian
7.1246 3.9743 5.5997 Ba
7.3184 1.6236 1.8666 Ba
7.1246 -1.6236 5.5997 Ba
7.3184 -3.9743 1.8666 Ba
3.3995 0.3645 4.9495 Pm
3.5932 -0.3645 1.2164 Pm
10.8498 0.3645 6.2498 Pm
11.0436 -0.3645 2.5167 Pm
4.0919 3.0464 4.5542 S
1.3674 0.9596 6.8592 S
1.5611 -0.9596 3.1261 S
5.2350 0.4490 6.9898 S
5.4287 -0.4490 3.2567 S
10.1574 3.0464 6.6451 S
4.2857 -3.0464 0.8211 S
9.0143 0.4490 4.2095 S
9.2080 -0.4490 0.4764 S
12.8819 0.9596 4.3401 S
13.0757 -0.9596 0.6070 S
10.3511 -3.0464 2.9120 S
```

Results
calculated volume: 29.89 A^3/atom
formation energy from raw total energies: -1755 meV/atom